{
  "formula": "TeMoAuN2",
  "functional": "PBE",
  "state": "relaxed",
  "lattice": [[3.922, 0.000, 0.000], [0.000, 3.922, 0.000], [0.000, 0.000, 5.865]],
  "species": ["Te", "Mo", "Au", "N", "N"],
  "fractional_positions": [[0.000, 0.000, 0.000], [0.000, 0.000, 0.500], [0.500, 0.500, 0.000], [0.000, 0.500, 0.500], [0.500, 0.000, 0.500]],
  "e_form_raw_mev_per_atom": 484,
  "de_polymorph_mev_per_atom": 0
}


{
  "formula": "Ti2MoAuN",
  "functional": "PBE",
  "state": "relaxed",
  "lattice": [[4.164, 0.000, 0.000], [0.000, 4.164, 0.000], [0.000, 0.000, 4.087]],
  "species": ["Ti", "Ti", "Mo", "Au", "N"],
  "fractional_positions": [[0.000, 0.500, 0.000], [0.500, 0.000, 0.000], [0.000, 0.000, 0.500], [0.500, 0.500, 0.500], [0.000, 0.000, 0.000]],
  "e_form_raw_mev_per_atom": -738
}


{
  "formula": "MoW2AuN",
  "functional": "PBE",
  "state": "relaxed",
  "lattice": [[4.134, 0.000, 0.000], [0.000, 4.134, 0.000], [0.000, 0.000, 4.177]],
  "species": ["Mo", "W", "W", "Au", "N"],
  "fractional_positions": [[0.000, 0.000, 0.000], [0.000, 0.500, 0.500], [0.500, 0.000, 0.500], [0.500, 0.500, 0.000], [0.000, 0.000, 0.500]],
  "e_form_raw_mev_per_atom": 70
}


{
  "formula": "ZnMoAu2N",
  "functional": "PBE",
  "state": "relaxed",
  "lattice": [[4.707, 0.000, 0.000], [0.000, 4.707, 0.000], [0.000, 0.000, 4.955]],
  "species": ["Zn", "Mo", "Au", "Au", "N"],
  "fractional_positions": [[0.000, 0.000, 0.000], [0.000, 0.000, 0.500], [0.000, 0.500, 0.000], [0.500, 0.000, 0.000], [0.500, 0.500, 0.500]],
  "e_form_raw_mev_per_atom": 2047
}


{
  "formula": "NaMoAu2",
  "functional": "PBE",
  "state": "relaxed",
  "lattice": [[-2.137, 2.137, 9.467], [2.137, -2.137, 9.467], [2.137, 2.137, -9.467]],
  "species": ["Na", "Na", "Mo", "Mo", "Au", "Au", "Au", "Au"],
  "fractional_positions": [[0.000, 0.000, 0.000], [0.750, 0.250, 0.500], [0.250, 0.750, 0.500], [0.500, 0.500, 0.000], [0.132, 0.625, 0.007], [0.375, 0.382, 0.507], [0.618, 0.125, 0.993], [0.875, 0.868, 0.493]],
  "formation_enthalpy_0k_ev_per_atom": 0.879,
  "de_polymorph_mev_per_atom": 481
}


{
  "formula": "NaMo3Au",
  "functional": "PBE",
  "state": "relaxed",
  "lattice": [[4.496, 0.000, 0.000], [0.000, 4.496, 0.000], [0.000, 0.000, 4.496]],
  "species": ["Na", "Mo", "Mo", "Mo", "Au"],
  "fractional_positions": [[0.000, 0.000, 0.000], [0.000, 0.000, 0.500], [0.000, 0.500, 0.000], [0.500, 0.000, 0.000], [0.500, 0.500, 0.500]],
  "formation_enthalpy_0k_ev_per_atom": 2.470,
  "de_polymorph_mev_per_atom": 250
}


{
  "formula": "NaMoAu2",
  "functional": "PBE",
  "state": "relaxed",
  "lattice": [[0.000, 3.334, 3.334], [3.334, 0.000, 3.334], [3.334, 3.334, 0.000]],
  "species": ["Na", "Mo", "Au", "Au"],
  "fractional_positions": [[0.000, 0.000, 0.000], [0.500, 0.500, 0.500], [0.250, 0.250, 0.250], [0.750, 0.750, 0.750]],
  "formation_enthalpy_0k_ev_per_atom": 0.398,
  "de_polymorph_mev_per_atom": 0
}


{
  "formula": "Na2MoAu",
  "functional": "PBE",
  "state": "relaxed",
  "lattice": [[-4.237, 4.237, 2.826], [4.237, -4.237, 2.826], [4.237, 4.237, -2.826]],
  "species": ["Na", "Na", "Na", "Na", "Mo", "Mo", "Au", "Au"],
  "fractional_positions": [[0.087, 0.625, 0.962], [0.375, 0.337, 0.462], [0.663, 0.125, 0.038], [0.875, 0.913, 0.538], [0.250, 0.750, 0.500], [0.500, 0.500, 0.000], [0.000, 0.000, 0.000], [0.750, 0.250, 0.500]],
  "formation_enthalpy_0k_ev_per_atom": 0.877,
  "de_polymorph_mev_per_atom": 0
}


{
  "formula": "NaMo3Au",
  "functional": "PBE",
  "state": "relaxed",
  "lattice": [[4.946, 0.000, 0.000], [0.000, 4.946, 0.000], [0.000, 0.000, 4.946]],
  "species": ["Na", "Mo", "Mo", "Mo", "Au"],
  "fractional_positions": [[0.000, 0.000, 0.000], [0.000, 0.500, 0.500], [0.500, 0.000, 0.500], [0.500, 0.500, 0.000], [0.500, 0.500, 0.500]],
  "formation_enthalpy_0k_ev_per_atom": 2.220,
  "de_polymorph_mev_per_atom": 0
}


{
  "formula": "Na2MoAu",
  "functional": "PBE",
  "state": "relaxed",
  "lattice": [[0.000, 3.541, 3.541], [3.541, 0.000, 3.541], [3.541, 3.541, 0.000]],
  "species": ["Na", "Na", "Mo", "Au"],
  "fractional_positions": [[0.250, 0.250, 0.250], [0.750, 0.750, 0.750], [0.000, 0.000, 0.000], [0.500, 0.500, 0.500]],
  "formation_enthalpy_0k_ev_per_atom": 0.880,
  "de_polymorph_mev_per_atom": 3
}


{
  "formula": "NaMoAu3",
  "functional": "PBE",
  "state": "relaxed",
  "lattice": [[5.109, 0.000, 0.000], [0.000, 5.109, 0.000], [0.000, 0.000, 5.109]],
  "species": ["Na", "Mo", "Au", "Au", "Au"],
  "fractional_positions": [[0.000, 0.000, 0.000], [0.500, 0.500, 0.500], [0.000, 0.500, 0.500], [0.500, 0.000, 0.500], [0.500, 0.500, 0.000]],
  "formation_enthalpy_0k_ev_per_atom": 0.636,
  "de_polymorph_mev_per_atom": 0
}


{
  "formula": "NaTiMo2Au",
  "functional": "PBE",
  "state": "relaxed",
  "lattice": [[4.574, 0.000, 0.000], [0.000, 4.574, 0.000], [0.000, 0.000, 5.161]],
  "species": ["Na", "Ti", "Mo", "Mo", "Au"],
  "fractional_positions": [[0.000, 0.000, 0.000], [0.500, 0.500, 0.500], [0.000, 0.500, 0.500], [0.500, 0.000, 0.500], [0.500, 0.500, 0.000]],
  "formation_enthalpy_0k_ev_per_atom": 1.152
}